This record from Alexandria describes a relaxed BaPb2BrF5 crystal. The functional is GGA-PBE.

The structure belongs to space group P4/nmm (No. 129, origin choice 2); the cell edges are 6.033, 6.033 and 9.911 Å and the angles 90.00°, 90.00° and 90.00°. The distinct sites, in fractional coordinates, are Ba at (0.250, 0.750, 0.000), Pb at (0.250, 0.250, 0.275), Pb at (0.250, 0.250, 0.679), Br at (0.250, 0.750, 0.500), F at (0.016, 0.016, 0.813) and F at (0.250, 0.250, 0.039).

The calculation puts the density of states at the Fermi level at 0.0 states/eV per cell. The value obtained for the formation energy (no corrections) is -2647 meV per atom.